(1)
A relaxed DyCr2SiC crystal. Source: Alexandria, functional PBE-GGA.

The structure in CIF format:
```
data_DyCr2SiC
_symmetry_space_group_name_H-M 'C m c m'
_symmetry_Int_Tables_number 63
_symmetry_space_group_name_Hall '-C 2c 2'
_cell_length_a 3.6846
_cell_length_b 10.5210
_cell_length_c 7.2428
_cell_angle_alpha 90.00
_cell_angle_beta 90.00
_cell_angle_gamma 90.00
loop_
_atom_site_label
_atom_site_type_symbol
_atom_site_fract_x
_atom_site_fract_y
_atom_site_fract_z
_atom_site_occupancy
Dy1 Dy 0.0000 0.0377 0.2500 1
Cr1 Cr 0.0000 0.3253 0.0587 1
Si1 Si 0.0000 0.2399 0.7500 1
C1 C 0.0000 0.5000 0.0000 1
```

Summary:
**E_form (uncorrected)**: -0.410 eV/atom
**Crystal system**: orthorhombic
**Calculated volume**: 281 Å³/cell

---

(2)
A relaxed MnMoP3 crystal. Source: Alexandria, functional PBE-GGA.

The structure in CIF format:
```
data_MnMoP3
_symmetry_space_group_name_H-M 'P m -3 m'
_symmetry_Int_Tables_number 221
_symmetry_space_group_name_Hall '-P 4 2 3'
_cell_length_a 4.6455
_cell_length_b 4.6455
_cell_length_c 4.6455
_cell_angle_alpha 90.00
_cell_angle_beta 90.00
_cell_angle_gamma 90.00
loop_
_atom_site_label
_atom_site_type_symbol
_atom_site_fract_x
_atom_site_fract_y
_atom_site_fract_z
_atom_site_occupancy
Mn1 Mn 0.0000 0.0000 0.0000 1
Mo1 Mo 0.5000 0.5000 0.5000 1
P1 P 0.0000 0.5000 0.5000 1
```

Summary:
**Crystal system**: cubic
**Calculated volume**: 100 Å³/cell
**DFT formation energy**: 1203 meV/atom

---

(3)
A relaxed SrTePbI2 crystal. Source: Alexandria, functional PBE-GGA.

The structure in CIF format:
```
data_SrTePbI2
_symmetry_space_group_name_H-M 'C m c m'
_symmetry_Int_Tables_number 63
_symmetry_space_group_name_Hall '-C 2c 2'
_cell_length_a 4.6705
_cell_length_b 15.0608
_cell_length_c 11.5143
_cell_angle_alpha 90.00
_cell_angle_beta 90.00
_cell_angle_gamma 90.00
loop_
_atom_site_label
_atom_site_type_symbol
_atom_site_fract_x
_atom_site_fract_y
_atom_site_fract_z
_atom_site_occupancy
Sr1 Sr 0.0000 0.2343 0.2500 1
Te1 Te 0.0000 0.4126 0.7500 1
Pb1 Pb 0.0000 0.5000 0.0000 1
I1 I 0.0000 0.1499 0.5669 1
```

Summary:
**E_form (uncorrected)**: -1.015 eV/atom
**Crystal system**: orthorhombic
**Calculated volume**: 810 Å³/cell

---

(4)
A relaxed LaErTm2 crystal. Source: Alexandria, functional PBE-GGA.

The structure in CIF format:
```
data_LaErTm2
_symmetry_space_group_name_H-M 'F m -3 m'
_symmetry_Int_Tables_number 225
_symmetry_space_group_name_Hall '-F 4 2 3'
_cell_length_a 8.0335
_cell_length_b 8.0335
_cell_length_c 8.0335
_cell_angle_alpha 90.00
_cell_angle_beta 90.00
_cell_angle_gamma 90.00
loop_
_atom_site_label
_atom_site_type_symbol
_atom_site_fract_x
_atom_site_fract_y
_atom_site_fract_z
_atom_site_occupancy
La1 La 0.0000 0.0000 0.0000 1
Er1 Er 0.0000 0.0000 0.5000 1
Tm1 Tm 0.2500 0.2500 0.2500 1
```

Summary:
**Crystal system**: cubic
**Calculated volume**: 518 Å³/cell
**DFT formation energy**: 104 meV/atom

---

calculated volume of number 3 (SrTePbI2)? 810 Å³/cell